Computed, not measured: a relaxed structure of Ba2AgGe2 at the PBE-GGA level of DFT.

## Properties
- Polymorph energy (0 for the lowest one): 0.00 eV/f.u.
- Total energy: -3.5632 eV/atom
- Crystal system: monoclinic

Cell lengths 6.5706, 6.3545, 8.5057 Å; angles 98.09, 90.00, 121.13 degrees
Sites, in units of the cell vectors:
Ba1 0.2051 0.7100 0.3599
Ag1 0.1113 0.0000 0.7500
Ag2 0.8887 0.0000 0.2500
Ba2 0.5049 0.7100 0.8599
Ge1 0.7029 0.7156 0.4927
Ba3 0.4951 0.2900 0.1401
Ge2 0.9873 0.2844 0.0073
Ba4 0.7949 0.2900 0.6401
Ge3 0.2971 0.2844 0.5073
Ge4 0.0127 0.7156 0.9927